Entry from Alexandria: a crystal of AuC3 relaxed with PBEsol (meta-GGA SCAN).

## Properties
* distance to the lowest polymorph of the same formula: 1474.6 meV per atom
* volume: 39.0 Å³/f.u.
* total energy: -21.19 eV/atom

a = 3.673 Å, b = 3.673 Å, c = 5.787 Å
α = 90.00°, β = 90.00°, γ = 90.00°
Space group I4/mmm (No. 139)
One atom of each set of equivalent atoms:
Au1 0.000 0.000 0.000 [2 per cell]
C1 0.000 0.000 0.500 [2 per cell]
C2 0.000 0.500 0.250 [4 per cell]